1.
Material: TbNdSm6Ho2
Method: DFT, GGA-PBE
State: relaxed

a = 9.6923 Å, b = 8.8858 Å, c = 8.8858 Å
α = 117.59°, β = 94.09°, γ = 94.09°
Last column: nearest neighbours and their distance in Å.
Element x y z (fractional)
Sm  0.8169  0.4324  0.9808  2 Sm 3.25-3.61, 1 Ho 3.46, 1 Nd 3.50, 1 Tb 3.57
Sm  0.8796  0.2939  0.5082  3 Sm 3.25-3.43, 3 Ho 3.31-3.47, 2 Nd 3.46-3.59
Sm  0.9448  0.8855  0.2437  7 Sm 3.43-3.80, 1 Ho 3.48, 1 Tb 3.67
Sm  0.1831  0.5676  0.0192  2 Sm 3.25-3.61, 1 Ho 3.46, 1 Nd 3.50, 1 Tb 3.57
Sm  0.4448  0.2437  0.8855  7 Sm 3.43-3.80, 1 Ho 3.48, 1 Tb 3.67
Sm  0.6831  0.0192  0.5676  2 Sm 3.25-3.61, 1 Ho 3.46, 1 Nd 3.50, 1 Tb 3.57
Sm  0.5552  0.7563  0.1145  7 Sm 3.43-3.80, 1 Ho 3.48, 1 Tb 3.67
Sm  0.3169  0.9808  0.4324  2 Sm 3.25-3.61, 1 Ho 3.46, 1 Nd 3.50, 1 Tb 3.57
Sm  0.3796  0.5082  0.2939  3 Sm 3.25-3.43, 3 Ho 3.31-3.47, 2 Nd 3.46-3.59
Sm  0.1204  0.7061  0.4918  3 Sm 3.25-3.43, 3 Ho 3.31-3.47, 2 Nd 3.46-3.59
Sm  0.6204  0.4918  0.7061  3 Sm 3.25-3.43, 3 Ho 3.31-3.47, 2 Nd 3.46-3.59
Sm  0.0552  0.1145  0.7563  7 Sm 3.43-3.80, 1 Ho 3.48, 1 Tb 3.67
Nd  0.2500  0.4068  0.5932  6 Sm 3.46-3.59, 2 Ho 3.59
Nd  0.7500  0.5932  0.4068  6 Sm 3.46-3.59, 2 Ho 3.59
Ho  0.4546  0.8043  0.7053  6 Sm 3.31-3.67, 2 Tb 3.41, 1 Nd 3.59
Ho  0.5454  0.1957  0.2947  6 Sm 3.31-3.67, 2 Tb 3.41, 1 Nd 3.59
Ho  0.0454  0.2947  0.1957  6 Sm 3.31-3.67, 2 Tb 3.41, 1 Nd 3.59
Ho  0.9546  0.7053  0.8043  6 Sm 3.31-3.67, 2 Tb 3.41, 1 Nd 3.59
Tb  0.2500  0.9724  0.0276  4 Ho 3.41, 4 Sm 3.57-3.67
Tb  0.7500  0.0276  0.9724  4 Ho 3.41, 4 Sm 3.57-3.67

The electronic total energy comes out at -4.567 eV per atom. Its magnetization is 0.00 μB per formula unit. As for the crystal system: monoclinic.



2.
Material: Tb5NdSmHo2
Method: DFT, GGA-PBE
State: relaxed

a = 5.6303 Å, b = 10.3555 Å, c = 10.6059 Å
α = 90.00°, β = 90.00°, γ = 105.77°
Last column: nearest neighbours and their distance in Å.
Element x y z (fractional)
Sm  0.7993  0.5985  0.5118  2 Ho 3.44-3.70, 8 Tb 3.50-3.78, 2 Nd 3.71
Sm  0.2007  0.4015  0.0118  2 Ho 3.44-3.70, 8 Tb 3.50-3.78, 2 Nd 3.71
Ho  0.1144  0.2287  0.3207  9 Tb 3.33-3.68, 1 Sm 3.70
Ho  0.8894  0.7787  0.2350  7 Tb 3.38-3.75, 1 Sm 3.44, 2 Nd 3.67
Ho  0.8856  0.7713  0.8207  9 Tb 3.33-3.68, 1 Sm 3.70
Ho  0.1106  0.2213  0.7350  7 Tb 3.38-3.75, 1 Sm 3.44, 2 Nd 3.67
Tb  0.6097  0.2194  0.5241  6 Tb 3.46-3.82, 4 Ho 3.55-3.60, 1 Sm 3.78
Tb  0.2984  0.5968  0.7082  4 Tb 3.41-3.82, 3 Sm 3.50-3.76, 3 Ho 3.52-3.75, 1 Nd 3.60
Tb  0.5220  0.0441  0.2371  2 Nd 3.10-3.28, 1 Tb 3.46
Tb  0.3903  0.7806  0.0241  6 Tb 3.46-3.82, 4 Ho 3.55-3.60, 1 Sm 3.78
Tb  0.0173  0.0346  0.0257  2 Nd 3.21, 2 Ho 3.38-3.41
Tb  0.4780  0.9559  0.7371  2 Nd 3.10-3.28, 1 Tb 3.46
Tb  0.2815  0.5629  0.3107  1 Nd 3.07, 1 Ho 3.33, 2 Tb 3.41
Tb  0.9827  0.9654  0.5257  2 Nd 3.21, 2 Ho 3.38-3.41
Tb  0.7016  0.4032  0.2082  4 Tb 3.41-3.82, 3 Sm 3.50-3.76, 3 Ho 3.52-3.75, 1 Nd 3.60
Tb  0.7185  0.4371  0.8107  1 Nd 3.07, 1 Ho 3.33, 2 Tb 3.41
Nd  0.4162  0.8325  0.4508  5 Tb 3.07-3.28
Nd  0.5838  0.1675  0.9508  5 Tb 3.07-3.28

The electronic total energy comes out at -4.488 eV per atom. Its magnetization is 0.00 μB per formula unit. As for the crystal system: orthorhombic.



3.
Material: Tb2Nd5SmHo
Method: DFT, GGA-PBE
State: relaxed

a = 5.6800 Å, b = 10.6246 Å, c = 10.7444 Å
α = 90.00°, β = 90.00°, γ = 105.50°
Last column: nearest neighbours and their distance in Å.
Element x y z (fractional)
Nd  0.3891  0.7782  0.0240  6 Nd 3.55-3.92, 4 Tb 3.62-3.65, 1 Sm 3.87
Nd  0.2967  0.5935  0.7044  3 Nd 3.44-3.79, 1 Ho 3.49, 3 Sm 3.53-3.83, 3 Tb 3.56-3.81
Nd  0.0160  0.0321  0.0203  2 Ho 3.29, 3 Tb 3.49-3.61
Nd  0.4808  0.9616  0.7431  2 Ho 3.24-3.38, 2 Tb 3.55, 2 Nd 3.55-3.56
Nd  0.7196  0.4391  0.8102  1 Ho 3.09, 1 Tb 3.37, 2 Nd 3.44
Nd  0.9840  0.9679  0.5203  2 Ho 3.29, 3 Tb 3.49-3.61
Nd  0.2804  0.5609  0.3102  1 Ho 3.09, 1 Tb 3.37, 2 Nd 3.44
Nd  0.5192  0.0384  0.2431  2 Ho 3.24-3.38, 2 Tb 3.55, 2 Nd 3.55-3.56
Nd  0.6109  0.2218  0.5240  6 Nd 3.55-3.92, 4 Tb 3.62-3.65, 1 Sm 3.87
Nd  0.7033  0.4065  0.2044  3 Nd 3.44-3.79, 1 Ho 3.49, 3 Sm 3.53-3.83, 3 Tb 3.56-3.81
Ho  0.5908  0.1815  0.9599  5 Nd 3.09-3.38
Ho  0.4092  0.8185  0.4599  5 Nd 3.09-3.38
Tb  0.8886  0.7772  0.2373  1 Sm 3.44, 7 Nd 3.50-3.81, 2 Ho 3.74
Tb  0.8840  0.7681  0.8153  9 Nd 3.37-3.77, 1 Sm 3.71
Tb  0.1160  0.2319  0.3153  9 Nd 3.37-3.77, 1 Sm 3.71
Tb  0.1114  0.2228  0.7373  1 Sm 3.44, 7 Nd 3.50-3.81, 2 Ho 3.74
Sm  0.7998  0.5996  0.5096  2 Tb 3.44-3.71, 7 Nd 3.53-3.83, 2 Ho 3.66
Sm  0.2002  0.4004  0.0096  2 Tb 3.44-3.71, 7 Nd 3.53-3.83, 2 Ho 3.66

The electronic total energy comes out at -4.569 eV per atom. Its magnetization is 0.00 μB per formula unit. As for the crystal system: orthorhombic.



4.
Material: Tb3NdSm2Ho6
Method: DFT, GGA-PBE
State: relaxed

a = 6.1757 Å, b = 6.1757 Å, c = 11.7714 Å
α = 95.00°, β = 95.00°, γ = 119.96°
Last column: nearest neighbours and their distance in Å.
Element x y z (fractional)
Ho  0.4182  0.0846  0.2522  3 Tb 3.53-3.54, 6 Ho 3.56-3.57, 2 Sm 3.57-3.58, 1 Nd 3.58
Ho  0.5818  0.9154  0.7478  3 Tb 3.53-3.54, 6 Ho 3.56-3.57, 2 Sm 3.57-3.58, 1 Nd 3.58
Ho  0.7510  0.7510  0.2522  3 Tb 3.53, 6 Ho 3.56-3.57, 1 Nd 3.57, 2 Sm 3.58
Ho  0.2490  0.2490  0.7478  3 Tb 3.53, 6 Ho 3.56-3.57, 1 Nd 3.57, 2 Sm 3.58
Ho  0.0846  0.4182  0.2522  3 Tb 3.53-3.54, 6 Ho 3.56-3.57, 2 Sm 3.57-3.58, 1 Nd 3.58
Ho  0.9154  0.5818  0.7478  3 Tb 3.53-3.54, 6 Ho 3.56-3.57, 2 Sm 3.57-3.58, 1 Nd 3.58
Tb  0.8333  0.1667  0.5000  6 Ho 3.53-3.54, 6 Tb 3.56-3.57
Tb  0.5000  0.5000  0.5000  6 Ho 3.53, 6 Tb 3.56-3.57
Tb  0.1667  0.8333  0.5000  6 Ho 3.53-3.54, 6 Tb 3.56-3.57
Nd  0.0000  0.0000  0.0000  6 Sm 3.56-3.57, 6 Ho 3.57-3.58
Sm  0.6667  0.3333  0.0000  3 Nd 3.56-3.57, 3 Sm 3.56-3.57, 6 Ho 3.57-3.58
Sm  0.3333  0.6667  0.0000  3 Nd 3.56-3.57, 3 Sm 3.56-3.57, 6 Ho 3.57-3.58

The electronic total energy comes out at -4.614 eV per atom. Its magnetization is 0.00 μB per formula unit. As for the crystal system: monoclinic.



| no. | E_form (eV per formula unit) |
| --- | --- |
| 1 | 1.2 |
| 2 | 1.4 |
| 3 | 1.3 |
| 4 | 0.2 |